1.
A relaxed structure of ZnRh2, computed with GGA-PBE.

Cell: 2.7481 2.7481 6.4667 Å, 90.00 90.00 120.00°
Space group P-3m1 (No. 164)
One atom of each set of equivalent atoms:
Zn: 0.0000 0.0000 0.0000 [1 per cell]
Rh: 0.3333 0.6667 0.6694 [2 per cell]

Properties
crystal system	trigonal
energy relative to the elements	-0.151	eV/atom
magnetization	0.0000	μB per atom
D(E_F)	3.71	states/eV/cell


2.
A relaxed structure of ZnRh3, computed with GGA-PBE.

Cell: 5.4244 5.4244 19.9341 Å, 90.00 90.00 120.00°
Space group R-3m (No. 166, hexagonal axes)
One atom of each set of equivalent atoms:
Zn: 0.0000 0.0000 0.0000 [3 per cell]
Zn: 0.0000 0.0000 0.2241 [6 per cell]
Rh: 0.0000 0.5000 0.0000 [9 per cell]
Rh: 0.0048 0.5024 0.7785 [18 per cell]

Properties
crystal system	trigonal
energy relative to the elements	-0.125	eV/atom
magnetization	0.0000	μB per atom
D(E_F)	45.24	states/eV/cell


Q: Number 2 is which compound?
A: ZnRh3


Q: The lowest energy relative to the elements belongs to which entry?
A: ZnRh2


Q: Number 1 is which compound?
A: ZnRh2